A geometry-optimized Ta2W structure. Source: OQMD, functional PBE.

The value obtained for the uncorrected energy is -12.012 eV/atom. As for the formation energy: 0.2094 eV per atom. The energy above the most stable polymorph in this dataset comes out at 245 meV/atom. The value obtained for the total magnetic moment is 0.00 μB per formula unit. As for the crystal system: hexagonal. The density comes out at 16.673 g/cm³.

The space group is P6_3/mmc (No. 194) and the conventional cell measures 5.4062, 5.4062 and 17.1791 Å, with angles of 90.00, 90.00 and 120.00 degrees. The inequivalent atoms are Ta at (0.0000, 0.5000, 0.0000), Ta at (0.1639, 0.3279, 0.2500), Ta at (0.3333, 0.6667, 0.6556), W at (0.0000, 0.0000, 0.0959) and W at (0.3333, 0.6667, 0.1239).



A geometry-optimized Pr3SiSe2N3 structure. Source: OQMD, functional PBE.

The value obtained for the uncorrected energy is -7.319 eV/atom. The value obtained for the total magnetic moment is 0.00 μB per formula unit. As for the crystal system: trigonal. The density comes out at 5.924 g/cm³.

The space group is R-3 (No. 148, hexagonal axes) and the conventional cell measures 19.0357, 19.0357 and 10.4634 Å, with angles of 90.00, 90.00 and 120.00 degrees. The inequivalent atoms are Pr at (0.0135, 0.8657, 0.1150), Pr at (0.0198, 0.7665, 0.8101), Pr at (0.0820, 0.2283, 0.5235), Si at (0.0068, 0.9132, 0.7027), Se at (0.0410, 0.7527, 0.3086), Se at (0.0420, 0.5000, 0.6642), N at (0.0066, 0.9141, 0.3312), N at (0.0090, 0.8904, 0.8687) and N at (0.0189, 0.8387, 0.6281).



A geometry-optimized NdPO4 structure. Source: OQMD, functional PBE.

The value obtained for the uncorrected energy is -7.979 eV/atom. The value obtained for the total magnetic moment is 0.00 μB per formula unit. As for the crystal system: tetragonal. The density comes out at 5.094 g/cm³.

The space group is I4_1/amd (No. 141, origin choice 2) and the conventional cell measures 7.089, 7.089 and 6.207 Å, with angles of 90.00, 90.00 and 90.00 degrees. The inequivalent atoms are Nd at (0.000, 0.250, 0.375), P at (0.000, 0.250, 0.875) and O at (0.000, 0.078, 0.721).



Please write out number 2 again, unchanged.
A geometry-optimized Pr3SiSe2N3 structure. Source: OQMD, functional PBE.

The value obtained for the uncorrected energy is -7.319 eV/atom. The value obtained for the total magnetic moment is 0.00 μB per formula unit. As for the crystal system: trigonal. The density comes out at 5.924 g/cm³.

The space group is R-3 (No. 148, hexagonal axes) and the conventional cell measures 19.0357, 19.0357 and 10.4634 Å, with angles of 90.00, 90.00 and 120.00 degrees. The inequivalent atoms are Pr at (0.0135, 0.8657, 0.1150), Pr at (0.0198, 0.7665, 0.8101), Pr at (0.0820, 0.2283, 0.5235), Si at (0.0068, 0.9132, 0.7027), Se at (0.0410, 0.7527, 0.3086), Se at (0.0420, 0.5000, 0.6642), N at (0.0066, 0.9141, 0.3312), N at (0.0090, 0.8904, 0.8687) and N at (0.0189, 0.8387, 0.6281).



Please write out number 2 again, unchanged.
A geometry-optimized Pr3SiSe2N3 structure. Source: OQMD, functional PBE.

The value obtained for the uncorrected energy is -7.319 eV/atom. The value obtained for the total magnetic moment is 0.00 μB per formula unit. As for the crystal system: trigonal. The density comes out at 5.924 g/cm³.

The space group is R-3 (No. 148, hexagonal axes) and the conventional cell measures 19.0357, 19.0357 and 10.4634 Å, with angles of 90.00, 90.00 and 120.00 degrees. The inequivalent atoms are Pr at (0.0135, 0.8657, 0.1150), Pr at (0.0198, 0.7665, 0.8101), Pr at (0.0820, 0.2283, 0.5235), Si at (0.0068, 0.9132, 0.7027), Se at (0.0410, 0.7527, 0.3086), Se at (0.0420, 0.5000, 0.6642), N at (0.0066, 0.9141, 0.3312), N at (0.0090, 0.8904, 0.8687) and N at (0.0189, 0.8387, 0.6281).



- Among the records above, which one has the lowest uncorrected energy?
  Ta2W